No. 1
Below is a relaxed BiW3I crystal, with properties calculated at the GGA-PBEsol level.

a = 4.8872 Å, b = 4.8872 Å, c = 4.8872 Å
α = 90.00°, β = 90.00°, γ = 90.00°
Last column: nearest neighbours and their distance in Å.
Fractional positions:
I 0.0000 0.0000 0.0000  6 W 2.44
W 0.5000 0.0000 0.0000  2 I 2.44
W 0.0000 0.0000 0.5000  2 I 2.44
W 0.0000 0.5000 0.0000  2 I 2.44
Bi 0.5000 0.5000 0.5000  12 W 3.46

- DFT total energy: -6.8294 eV/atom
- Formation energy (no corrections): 2666 meV/atom
- Crystal system: cubic
- Space group: Pm-3m, No. 221
- Magnetic moment: 0.000 μB/atom

***

No. 2
Below is a relaxed MgTaSi2 crystal, with properties calculated at the GGA-PBEsol level.

a = 3.6238 Å, b = 3.8435 Å, c = 4.4919 Å
α = 90.00°, β = 90.00°, γ = 90.00°
Last column: nearest neighbours and their distance in Å.
Fractional positions:
Mg 0.5000 0.0000 0.5000  8 Si 2.64-2.89, 4 Ta 2.96
Si 0.0000 0.0000 0.0000  4 Ta 2.64, 4 Mg 2.89, 4 Si 2.96
Si 0.0000 0.5000 0.5000  4 Mg 2.64, 4 Ta 2.89, 4 Si 2.96
Ta 0.5000 0.5000 0.0000  8 Si 2.64-2.89, 4 Mg 2.96

- DFT total energy: -6.4197 eV/atom
- Formation energy (no corrections): 21 meV/atom
- Crystal system: orthorhombic
- Space group: Pmmm, No. 47
- Magnetic moment: 0.000 μB/atom

***

No. 3
Below is a relaxed LaNi2Ir crystal, with properties calculated at the GGA-PBEsol level.

a = 4.1893 Å, b = 4.1904 Å, c = 5.2774 Å
α = 113.33°, β = 90.00°, γ = 119.99°
Last column: nearest neighbours and their distance in Å.
Fractional positions:
Ni 0.8098 0.6195 0.9295  3 Ir 2.44, 3 Ni 2.51, 1 La 2.68
Ni 0.1902 0.3805 0.0705  3 Ir 2.44, 3 Ni 2.51, 1 La 2.68
La 0.0000 0.0000 0.5000  2 Ni 2.68
Ir 0.5000 0.0000 0.0000  6 Ni 2.44

- DFT total energy: -7.2339 eV/atom
- ΔH_f (0 K): -1.45 eV/f.u.
- Crystal system: trigonal
- Space group: R-3m, No. 166
- Magnetic moment: 0.000 μB/atom

***

No. 4
Below is a relaxed LiEuBi crystal, with properties calculated at the GGA-PBEsol level.

a = 4.8134 Å, b = 7.7870 Å, c = 8.4150 Å
α = 90.00°, β = 90.00°, γ = 90.00°
Last column: nearest neighbours and their distance in Å.
Fractional positions:
Bi 0.7500 0.2270 0.4075  4 Li 2.84-3.07
Bi 0.2500 0.2730 0.9075  4 Li 2.84-3.07
Bi 0.2500 0.7730 0.5925  4 Li 2.84-3.07
Bi 0.7500 0.7270 0.0925  4 Li 2.84-3.07
Li 0.7500 0.8326 0.4228  4 Bi 2.84-3.07
Li 0.2500 0.6674 0.9228  4 Bi 2.84-3.07
Li 0.2500 0.1674 0.5772  4 Bi 2.84-3.07
Li 0.7500 0.3326 0.0772  4 Bi 2.84-3.07
Eu 0.7500 0.9961 0.7875  4 Li 3.27-3.58, 5 Bi 3.31-3.39
Eu 0.2500 0.0039 0.2125  4 Li 3.27-3.58, 5 Bi 3.31-3.39
Eu 0.2500 0.5039 0.2875  4 Li 3.27-3.58, 5 Bi 3.31-3.39
Eu 0.7500 0.4961 0.7125  4 Li 3.27-3.58, 5 Bi 3.31-3.39

- DFT total energy: -6.4392 eV/atom
- ΔH_f (0 K): -2.50 eV/f.u.
- Crystal system: orthorhombic
- Space group: Pnma, No. 62
- Magnetic moment: 2.333 μB/atom

***

No. 5
Below is a relaxed SiB2PdPt crystal, with properties calculated at the GGA-PBEsol level.

a = 3.9114 Å, b = 3.9114 Å, c = 4.5833 Å
α = 90.00°, β = 90.00°, γ = 90.00°
Last column: nearest neighbours and their distance in Å.
Fractional positions:
Si 0.0000 0.0000 0.0000  4 B 1.96
Pd 0.5000 0.5000 0.5000  4 Pt 2.77, 8 B 3.01
Pt 0.0000 0.0000 0.5000  2 Si 2.29
B 0.0000 0.5000 0.0000  2 Si 1.96
B 0.5000 0.0000 0.0000  2 Si 1.96

- DFT total energy: -5.3993 eV/atom
- Formation energy (no corrections): 1141 meV/atom
- Crystal system: tetragonal
- Space group: P4/mmm, No. 123
- Magnetic moment: 0.000 μB/atom

***

No. 6
Below is a relaxed ZrZn7 crystal, with properties calculated at the GGA-PBEsol level.

a = 4.1933 Å, b = 4.1933 Å, c = 6.7715 Å
α = 90.00°, β = 90.00°, γ = 90.00°
Last column: nearest neighbours and their distance in Å.
Fractional positions:
Zn 0.5000 0.5000 0.0000  8 Zn 2.62
Zn 0.0000 0.0000 0.0000  8 Zn 2.62
Zn 0.0000 0.5000 0.2328  6 Zn 2.62-2.77, 2 Zr 2.77
Zn 0.5000 0.5000 0.5000  8 Zn 2.77, 4 Zr 2.97
Zn 0.0000 0.5000 0.7672  6 Zn 2.62-2.77, 2 Zr 2.77
Zn 0.5000 0.0000 0.2328  6 Zn 2.62-2.77, 2 Zr 2.77
Zn 0.5000 0.0000 0.7672  6 Zn 2.62-2.77, 2 Zr 2.77
Zr 0.0000 0.0000 0.5000  12 Zn 2.77-2.97

- DFT total energy: -2.6426 eV/atom
- ΔH_f (0 K): -0.98 eV/f.u.
- Crystal system: tetragonal
- Space group: P4/mmm, No. 123
- Magnetic moment: 0.000 μB/atom

***

No. 7
Below is a relaxed Ag3P crystal, with properties calculated at the GGA-PBEsol level.

a = 3.2392 Å, b = 4.4946 Å, c = 5.2794 Å
α = 115.19°, β = 107.86°, γ = 90.00°
Last column: nearest neighbours and their distance in Å.
Fractional positions:
P 0.0000 0.5000 0.0000  8 Ag 2.61-2.77
Ag 0.2720 0.2720 0.5440  2 P 2.61, 4 Ag 2.80
Ag 0.7280 0.7280 0.4560  2 P 2.61, 4 Ag 2.80
Ag 0.5000 0.0000 0.0000  4 P 2.77, 8 Ag 2.93-3.04

- DFT total energy: -3.7447 eV/atom
- ΔH_f (0 K): 0.75 eV/f.u.
- Crystal system: orthorhombic
- Space group: Immm, No. 71
- Magnetic moment: 0.000 μB/atom

***

No. 8
Below is a relaxed KBr2 crystal, with properties calculated at the GGA-PBEsol level.

a = 3.0057 Å, b = 5.8277 Å, c = 5.8277 Å
α = 90.00°, β = 90.00°, γ = 90.00°
Last column: nearest neighbours and their distance in Å.
Fractional positions:
Br 0.5000 0.5000 0.0000  2 Br 3.01, 4 K 3.28
Br 0.5000 0.0000 0.5000  2 Br 3.01, 4 K 3.28
K 0.0000 0.0000 0.0000  2 K 3.01, 8 Br 3.28

- DFT total energy: -2.5510 eV/atom
- Formation energy (no corrections): -927 meV/atom
- Crystal system: tetragonal
- Space group: P4/mmm, No. 123
- Magnetic moment: 0.000 μB/atom